1.
Compound: LuZnNiRh
Source: Alexandria via LeMat-Bulk
Functional: PBE-GGA
Structure: optimized geometry

abc: 4.4571 4.4571 4.4571
angles: 60.00 60.00 60.00
Last column: nearest neighbours and their distance in Å.
Sites, in units of the cell vectors:
Zn 0.7500 0.7500 0.7500  4 Ni 2.73, 4 Rh 2.73
Lu 0.2500 0.2500 0.2500  4 Ni 2.73, 4 Rh 2.73
Ni 0.0000 0.0000 0.0000  4 Zn 2.73, 4 Lu 2.73
Rh 0.5000 0.5000 0.5000  4 Lu 2.73, 4 Zn 2.73

Computed properties:
The formation energy comes out at -2.198 eV per formula unit.

2.
Compound: CaTcPt2
Source: Alexandria via LeMat-Bulk
Functional: PBE-GGA
Structure: optimized geometry

abc: 2.7694 5.2240 5.7547
angles: 54.50 90.00 90.00
Last column: nearest neighbours and their distance in Å.
Sites, in units of the cell vectors:
Pt 0.5000 0.5000 0.0000  6 Pt 2.77-2.96, 2 Tc 2.88, 4 Ca 2.88
Pt 0.0000 0.0000 0.0000  6 Pt 2.77-2.96, 2 Ca 2.88, 4 Tc 2.88
Ca 0.0000 0.0000 0.5000  2 Ca 2.77, 6 Pt 2.88, 4 Tc 2.96
Tc 0.5000 0.5000 0.5000  2 Tc 2.77, 6 Pt 2.88, 4 Ca 2.96

Computed properties:
The formation energy comes out at -0.094 eV per formula unit.

3.
Compound: SrRePt
Source: Alexandria via LeMat-Bulk
Functional: PBE-GGA
Structure: optimized geometry

abc: 6.1477 6.1477 6.1477
angles: 153.07 141.33 47.75
Last column: nearest neighbours and their distance in Å.
Sites, in units of the cell vectors:
Sr 0.6638 0.6638 0.0000  2 Sr 2.86, 1 Re 3.17
Re 0.3815 0.3815 0.0000  4 Pt 2.62, 2 Re 2.86
Pt 0.9547 0.9547 0.0000  4 Re 2.62, 2 Pt 2.86

Computed properties:
The formation energy comes out at 0.721 eV per formula unit.

4.
Compound: TlSbPd2
Source: Alexandria via LeMat-Bulk
Functional: PBE-GGA
Structure: optimized geometry

abc: 3.4760 3.4760 8.2039
angles: 77.77 77.77 60.00
Last column: nearest neighbours and their distance in Å.
Sites, in units of the cell vectors:
Pd 0.2537 0.2537 0.2389  3 Sb 2.77, 3 Tl 2.89
Pd 0.0796 0.0796 0.7612  3 Sb 2.76, 3 Tl 2.88
Sb 0.6671 0.6671 0.9988  6 Pd 2.76-2.77
Tl 0.4996 0.4996 0.5011  6 Pd 2.88-2.89

Computed properties:
For the uncorrected formation energy, the calculation gives -0.1733 eV/atom.

5.
Compound: KCd2Pb
Source: Alexandria via LeMat-Bulk
Functional: PBE-GGA
Structure: optimized geometry

abc: 5.5737 5.5737 6.7336
angles: 80.26 80.26 40.12
Last column: nearest neighbours and their distance in Å.
Sites, in units of the cell vectors:
Cd 0.9884 0.9884 0.0618  3 Pb 3.22, 2 Cd 3.22, 1 K 3.54
Cd 0.5116 0.5116 0.4382  3 Pb 3.22, 2 Cd 3.22, 1 K 3.54
Pb 0.2500 0.2500 0.2500  6 Cd 3.22
K 0.7500 0.7500 0.7500  6 Cd 3.54-3.67, 2 K 3.82, 4 Pb 3.87

Computed properties:
The formation energy comes out at -0.017 eV per formula unit.

6.
Compound: TlInAg2
Source: Alexandria via LeMat-Bulk
Functional: PBE-GGA
Structure: optimized geometry

abc: 9.2962 9.2962 9.2962
angles: 21.12 21.12 21.12
Last column: nearest neighbours and their distance in Å.
Sites, in units of the cell vectors:
Ag 0.0034 0.0034 0.0034  3 In 2.94, 3 Tl 3.08
Ag 0.4966 0.4966 0.4966  3 In 2.94, 3 Tl 3.08
Tl 0.2500 0.2500 0.2500  6 Ag 3.08, 6 Tl 3.41
In 0.7500 0.7500 0.7500  6 Ag 2.94

Computed properties:
The formation energy comes out at 0.495 eV per formula unit.

7.
Compound: Bi2Sb2Pd3
Source: Alexandria via LeMat-Bulk
Functional: PBE-GGA
Structure: optimized geometry

abc: 4.2935 5.5961 7.2207
angles: 98.64 107.30 90.00
Last column: nearest neighbours and their distance in Å.
Sites, in units of the cell vectors:
Sb 0.8262 0.6956 0.6524  5 Pd 2.71-2.87
Sb 0.1738 0.3044 0.3476  5 Pd 2.71-2.87
Pd 0.2172 0.8194 0.4343  4 Sb 2.77-2.87, 2 Bi 2.92, 2 Pd 2.99
Pd 0.7828 0.1806 0.5657  4 Sb 2.77-2.87, 2 Bi 2.92, 2 Pd 2.99
Pd 0.0000 0.0000 0.0000  2 Sb 2.71, 4 Bi 2.82
Bi 0.5722 0.7524 0.1444  4 Pd 2.82-2.92
Bi 0.4278 0.2476 0.8556  4 Pd 2.82-2.92

Computed properties:
For the uncorrected formation energy, the calculation gives -0.2982 eV/atom.

8.
Compound: TmCoGeH
Source: Alexandria via LeMat-Bulk
Functional: PBE-GGA
Structure: optimized geometry

abc: 3.8758 3.8758 7.1829
angles: 90.00 90.00 90.00
Last column: nearest neighbours and their distance in Å.
Sites, in units of the cell vectors:
H 0.5000 0.5000 0.5000  4 Tm 2.26
H 0.0000 0.0000 0.5000  4 Tm 2.26
Tm 0.5000 0.0000 0.6608  4 H 2.26
Tm 0.0000 0.5000 0.3392  4 H 2.26
Ge 0.0000 0.5000 0.8167  4 Co 2.34
Ge 0.5000 0.0000 0.1833  4 Co 2.34
Co 0.5000 0.5000 0.0000  4 Ge 2.34
Co 0.0000 0.0000 0.0000  4 Ge 2.34

Computed properties:
The calculation puts the calculated total energy at -0.2042 Ha/atom.

9.
Compound: Ac4Sn3O
Source: Alexandria via LeMat-Bulk
Functional: PBE-GGA
Structure: optimized geometry

abc: 7.5152 7.5152 7.5152
angles: 82.40 125.94 123.05
Last column: nearest neighbours and their distance in Å.
Sites, in units of the cell vectors:
Sn 0.6543 0.2316 0.8860  1 Sn 2.96, 1 Ac 3.31
Sn 0.8573 0.0000 0.8573  2 Sn 2.96
Sn 0.6543 0.7684 0.4227  1 Sn 2.96, 1 Ac 3.31
O 0.0292 0.5000 0.5292  4 Ac 2.40-2.45
Ac 0.0460 0.7553 0.2907  1 O 2.45
Ac 0.5354 0.2447 0.2907  1 O 2.45
Ac 0.1873 0.3109 0.4982  1 O 2.40
Ac 0.1873 0.6891 0.8763  1 O 2.40

Computed properties:
For the uncorrected formation energy, the calculation gives -0.9912 eV/atom.

10.
Compound: Pm4N3F
Source: Alexandria via LeMat-Bulk
Functional: PBE-GGA
Structure: optimized geometry

abc: 3.5918 6.2584 6.2584
angles: 71.08 89.99 89.99
Last column: nearest neighbours and their distance in Å.
Sites, in units of the cell vectors:
F 0.5000 0.5001 0.9999  6 Pm 2.62-2.65
Pm 0.5001 0.7575 0.2574  5 N 2.47-2.56, 1 F 2.62
Pm 0.0000 0.2320 0.2681  4 N 2.46-2.55, 2 F 2.65
Pm 0.0000 0.7682 0.7318  4 N 2.46-2.55, 2 F 2.65
Pm 0.4998 0.2427 0.7426  5 N 2.47-2.56, 1 F 2.62
N 0.5000 0.0001 0.5000  6 Pm 2.46-2.47
N 0.0000 0.5001 0.5000  6 Pm 2.55-2.56
N 0.0000 0.0001 0.0000  6 Pm 2.55-2.56

Computed properties:
For the uncorrected formation energy, the calculation gives -1.7675 eV/atom.

11.
Compound: Sb5Br4
Source: Alexandria via LeMat-Bulk
Functional: PBE-GGA
Structure: optimized geometry

abc: 10.3562 10.3562 6.2999
angles: 90.00 90.00 120.00
Last column: nearest neighbours and their distance in Å.
Sites, in units of the cell vectors:
Sb 0.5322 0.0000 0.2500  1 Br 2.57
Sb 0.4678 0.4678 0.2500  1 Br 2.57
Sb 0.6667 0.3333 0.0000  8 Sb 3.15-3.40
Sb 0.5322 0.5322 0.7500  1 Br 2.57
Sb 0.4678 0.0000 0.7500  1 Br 2.57
Sb 0.6667 0.3333 0.5000  8 Sb 3.15-3.40
Sb 0.3333 0.6667 0.5000  8 Sb 3.15-3.40
Sb 0.0000 0.4678 0.7500  1 Br 2.57
Sb 0.3333 0.6667 0.0000  8 Sb 3.15-3.40
Sb 0.0000 0.5322 0.2500  1 Br 2.57
Br 0.0000 0.7156 0.7500  1 Sb 2.57
Br 0.0000 0.2844 0.2500  1 Sb 2.57
Br 0.0000 0.0000 0.5000  8 Br 3.15-3.34
Br 0.0000 0.0000 0.0000  8 Br 3.15-3.34
Br 0.2844 0.0000 0.2500  1 Sb 2.57
Br 0.7156 0.0000 0.7500  1 Sb 2.57
Br 0.2844 0.2844 0.7500  1 Sb 2.57
Br 0.7156 0.7156 0.2500  1 Sb 2.57

Computed properties:
For the uncorrected formation energy, the calculation gives -0.0053 eV/atom.

12.
Compound: Pr3NdCd8
Source: Alexandria via LeMat-Bulk
Functional: PBE-GGA
Structure: optimized geometry

abc: 6.0366 6.0366 10.4057
angles: 73.14 73.14 60.00
Last column: nearest neighbours and their distance in Å.
Sites, in units of the cell vectors:
Cd 0.9375 0.9375 0.6871  6 Cd 3.01-3.02
Cd 0.9375 0.4379 0.6871  6 Cd 3.01-3.02
Cd 0.4375 0.4375 0.1879  6 Cd 3.00-3.02
Cd 0.4375 0.9371 0.1879  6 Cd 3.00-3.02
Cd 0.1875 0.1875 0.4375  6 Cd 3.00-3.01
Cd 0.4379 0.9375 0.6871  6 Cd 3.01-3.02
Cd 0.9371 0.4375 0.1879  6 Cd 3.00-3.02
Cd 0.6875 0.6875 0.9375  6 Cd 3.01
Pr 0.9996 0.9996 0.0012  12 Cd 3.53-3.54, 1 Nd 3.66, 3 Pr 3.70
Pr 0.4998 0.4998 0.5007  12 Cd 3.53-3.54, 1 Pr 3.66, 3 Nd 3.70
Pr 0.3753 0.3753 0.8740  12 Cd 3.53-3.54, 4 Pr 3.66-3.70
Nd 0.8753 0.8753 0.3742  12 Cd 3.53-3.54, 4 Pr 3.66-3.70

Computed properties:
The formation energy comes out at -3.706 eV per formula unit.

13.
Compound: Tb3PrNd2Y6
Source: Alexandria via LeMat-Bulk
Functional: PBE-GGA
Structure: optimized geometry

abc: 6.2410 6.2410 11.8754
angles: 95.01 95.01 119.97
Last column: nearest neighbours and their distance in Å.
Sites, in units of the cell vectors:
Y 0.2489 0.2489 0.7469  3 Tb 3.56, 6 Y 3.60-3.61, 1 Pr 3.62, 2 Nd 3.62
Y 0.4180 0.0845 0.2531  3 Tb 3.56, 6 Y 3.60-3.61, 2 Nd 3.62, 1 Pr 3.62
Y 0.0845 0.4180 0.2531  3 Tb 3.56, 6 Y 3.60-3.61, 2 Nd 3.62, 1 Pr 3.62
Y 0.7511 0.7511 0.2531  3 Tb 3.56, 6 Y 3.60-3.61, 1 Pr 3.62, 2 Nd 3.62
Y 0.9155 0.5820 0.7469  3 Tb 3.56, 6 Y 3.60-3.61, 2 Nd 3.62, 1 Pr 3.62
Y 0.5820 0.9155 0.7469  3 Tb 3.56, 6 Y 3.60-3.61, 2 Nd 3.62, 1 Pr 3.62
Tb 0.1668 0.8332 0.5000  6 Y 3.56, 6 Tb 3.60-3.61
Tb 0.8332 0.1668 0.5000  6 Y 3.56, 6 Tb 3.60-3.61
Tb 0.5000 0.5000 0.5000  6 Y 3.56, 6 Tb 3.60
Nd 0.6666 0.3334 0.0000  3 Nd 3.60, 3 Pr 3.60, 6 Y 3.62
Nd 0.3334 0.6666 0.0000  3 Nd 3.60, 3 Pr 3.60, 6 Y 3.62
Pr 0.0000 0.0000 0.0000  6 Nd 3.60, 6 Y 3.62

Computed properties:
The formation energy comes out at 0.188 eV per formula unit.

Table of total moment (Bohr magnetons per cell), in record order: 0.00 0.00 0.00 0.00 0.00 0.00 0.00 0.00 1.13 0.00 0.01 0.00 0.00
Table of calculated volume (Å³/f.u.), in record order: 62.6 67.8 65.5 83.2 132.6 91.3 163.6 53.9 276.8 133.1 292.6 309.4 394.5